Entry 1:
# EuYTlBi

A geometry-optimized EuYTlBi structure (PBE-GGA, Alexandria).

Lattice parameters (Å, degrees): 7.8544 7.8544 7.8544 90.00 90.00 90.00
With the nearest neighbours (Å) after each atom.
Space group F-43m (No. 216)
One atom of each set of equivalent atoms:
Eu 0.0000 0.0000 0.0000 (multiplicity 4)  4 Tl 3.40, 4 Bi 3.40
Y 0.0000 0.0000 0.5000 (multiplicity 4)  4 Bi 3.40, 4 Tl 3.40
Tl 0.2500 0.2500 0.2500 (multiplicity 4)  4 Eu 3.40, 4 Y 3.40
Bi 0.2500 0.2500 0.7500 (multiplicity 4)  4 Eu 3.40, 4 Y 3.40

Properties
M_tot   7.38 μB per formula unit
Energy relative to the elements   -0.484 eV per atom
DOS at the Fermi energy   12.13 states/eV per cell



Entry 2:
# EuTlZnBi

A geometry-optimized EuTlZnBi structure (PBE-GGA, Alexandria).

Lattice parameters (Å, degrees): 7.8481 7.8481 7.8481 90.00 90.00 90.00
With the nearest neighbours (Å) after each atom.
Space group F-43m (No. 216)
One atom of each set of equivalent atoms:
Eu 0.0000 0.0000 0.0000 (multiplicity 4)  4 Zn 3.40, 4 Bi 3.40
Tl 0.0000 0.0000 0.5000 (multiplicity 4)  4 Bi 3.40, 4 Zn 3.40
Zn 0.2500 0.2500 0.2500 (multiplicity 4)  4 Tl 3.40, 4 Eu 3.40
Bi 0.2500 0.2500 0.7500 (multiplicity 4)  4 Eu 3.40, 4 Tl 3.40

Properties
M_tot   7.07 μB per formula unit
Energy relative to the elements   -0.248 eV per atom
DOS at the Fermi energy   39.35 states/eV per cell



Entry 3:
# EuTmBi

A geometry-optimized EuTmBi structure (PBE-GGA, Alexandria).

Lattice parameters (Å, degrees): 4.1248 4.1248 11.1189 90.00 90.00 90.00
With the nearest neighbours (Å) after each atom.
Space group I4mm (No. 107)
One atom of each set of equivalent atoms:
Eu 0.0000 0.0000 0.0000 (multiplicity 2)  5 Tm 3.38-3.64, 5 Bi 3.51-3.61
Tm 0.0000 0.0000 0.6961 (multiplicity 2)  4 Bi 3.25, 1 Eu 3.38
Bi 0.0000 0.0000 0.3243 (multiplicity 2)  4 Tm 3.25, 5 Eu 3.51-3.61

Properties
M_tot   8.85 μB per formula unit
Energy relative to the elements   -0.444 eV per atom
Offset from the most stable computed form   0 meV per atom
DOS at the Fermi energy   11.80 states/eV per cell